# La7Pm3Sm2 | the Alexandria database | PBE | optimized geometry
data_La7Pm3Sm2
_cell_length_a 3.617
_cell_length_b 6.608
_cell_length_c 18.577
_cell_angle_alpha 74.99
_cell_angle_beta 90.00
_cell_angle_gamma 90.00
_space_group_name_H-M_alt 'P 1'
_space_group_IT_number 1
loop_
_space_group_symop_operation_xyz
'x,y,z'
loop_
_atom_site_label
_atom_site_type_symbol
_atom_site_fract_x
_atom_site_fract_y
_atom_site_fract_z
_atom_site_occupancy
La1 La 0.500 0.230 0.509 1
La2 La 0.500 0.770 0.491 1
La3 La 0.000 0.557 0.167 1
La4 La 0.000 0.000 0.000 1
La5 La 0.000 0.443 0.833 1
La6 La 0.500 0.949 0.829 1
La7 La 0.500 0.051 0.171 1
Pm1 Pm 0.500 0.500 0.000 1
Pm2 Pm 0.000 0.117 0.337 1
Pm3 Pm 0.000 0.883 0.663 1
Sm1 Sm 0.500 0.608 0.331 1
Sm2 Sm 0.500 0.392 0.669 1
# DFT formation energy ... 0.061 eV per atom
# DOS at the Fermi energy ... 19.0 states/eV/cell

---

# Zn2PBr | the Alexandria database | PBE | optimized geometry
data_Zn2PBr
_cell_length_a 5.781
_cell_length_b 5.781
_cell_length_c 7.118
_cell_angle_alpha 66.04
_cell_angle_beta 66.04
_cell_angle_gamma 90.00
_space_group_name_H-M_alt 'P 1'
_space_group_IT_number 1
loop_
_space_group_symop_operation_xyz
'x,y,z'
loop_
_atom_site_label
_atom_site_type_symbol
_atom_site_fract_x
_atom_site_fract_y
_atom_site_fract_z
_atom_site_occupancy
P1 P 0.500 0.500 0.000 1
P2 P 0.250 0.750 0.500 1
Zn1 Zn 0.554 0.125 0.250 1
Zn2 Zn 0.196 0.625 0.250 1
Zn3 Zn 0.375 0.446 0.750 1
Zn4 Zn 0.875 0.804 0.750 1
Br1 Br 0.000 0.000 0.000 1
Br2 Br 0.750 0.250 0.500 1
# DOS at the Fermi energy ... 0.0 states/eV/cell
# Formation energy without anion corrections ... -0.454 eV per atom

---

# Np2MnNbN5 | the Alexandria database | PBE | optimized geometry
data_Np2MnNbN5
_cell_length_a 3.165
_cell_length_b 6.603
_cell_length_c 10.060
_cell_angle_alpha 90.00
_cell_angle_beta 90.00
_cell_angle_gamma 103.87
_space_group_name_H-M_alt 'P 1'
_space_group_IT_number 1
loop_
_space_group_symop_operation_xyz
'x,y,z'
loop_
_atom_site_label
_atom_site_type_symbol
_atom_site_fract_x
_atom_site_fract_y
_atom_site_fract_z
_atom_site_occupancy
Np1 Np 0.853 0.706 0.806 1
Np2 Np 0.103 0.206 0.685 1
Np3 Np 0.147 0.294 0.306 1
Np4 Np 0.897 0.794 0.185 1
Mn1 Mn 0.527 0.055 0.956 1
Mn2 Mn 0.473 0.945 0.456 1
Nb1 Nb 0.797 0.595 0.509 1
Nb2 Nb 0.203 0.405 0.009 1
N1 N 0.371 0.742 0.998 1
N2 N 0.675 0.350 0.864 1
N3 N 0.485 0.970 0.779 1
N4 N 0.281 0.562 0.660 1
N5 N 0.952 0.905 0.566 1
N6 N 0.629 0.258 0.498 1
N7 N 0.325 0.650 0.364 1
N8 N 0.515 0.030 0.279 1
N9 N 0.719 0.438 0.160 1
N10 N 0.048 0.095 0.066 1
# DOS at the Fermi energy ... 22.0 states/eV/cell
# Formation energy without anion corrections ... -0.912 eV per atom

---

# La2Tl2Bi3 | the Alexandria database | PBE | optimized geometry
data_La2Tl2Bi3
_cell_length_a 4.903
_cell_length_b 5.972
_cell_length_c 9.110
_cell_angle_alpha 106.97
_cell_angle_beta 96.58
_cell_angle_gamma 110.84
_space_group_name_H-M_alt 'P 1'
_space_group_IT_number 1
loop_
_space_group_symop_operation_xyz
'x,y,z'
loop_
_atom_site_label
_atom_site_type_symbol
_atom_site_fract_x
_atom_site_fract_y
_atom_site_fract_z
_atom_site_occupancy
La1 La 0.716 0.408 0.170 1
La2 La 0.284 0.592 0.830 1
Tl1 Tl 0.145 0.232 0.427 1
Tl2 Tl 0.855 0.768 0.573 1
Bi1 Bi 0.000 0.000 0.000 1
Bi2 Bi 0.575 0.150 0.750 1
Bi3 Bi 0.425 0.850 0.250 1
# DFT formation energy ... -0.506 eV per atom
# DOS at the Fermi energy ... 4.0 states/eV/cell

---

# Tb2Cr2C3 | the Alexandria database | PBE | optimized geometry
data_Tb2Cr2C3
_cell_length_a 5.470
_cell_length_b 5.470
_cell_length_c 5.593
_cell_angle_alpha 75.07
_cell_angle_beta 75.07
_cell_angle_gamma 36.40
_space_group_name_H-M_alt 'P 1'
_space_group_IT_number 1
loop_
_space_group_symop_operation_xyz
'x,y,z'
loop_
_atom_site_label
_atom_site_type_symbol
_atom_site_fract_x
_atom_site_fract_y
_atom_site_fract_z
_atom_site_occupancy
Tb1 Tb 0.396 0.396 0.316 1
Tb2 Tb 0.604 0.604 0.684 1
Cr1 Cr 0.158 0.158 0.108 1
Cr2 Cr 0.842 0.842 0.892 1
C1 C 0.711 0.711 0.226 1
C2 C 0.289 0.289 0.774 1
C3 C 0.000 0.000 0.000 1
# DFT formation energy ... -0.304 eV per atom
# DOS at the Fermi energy ... 4.5 states/eV/cell

---

# NaBiBC2 | the Alexandria database | PBE | optimized geometry
data_NaBiBC2
_cell_length_a 3.681
_cell_length_b 4.963
_cell_length_c 3.681
_cell_angle_alpha 90.00
_cell_angle_beta 90.00
_cell_angle_gamma 90.00
_space_group_name_H-M_alt 'P 1'
_space_group_IT_number 1
loop_
_space_group_symop_operation_xyz
'x,y,z'
loop_
_atom_site_label
_atom_site_type_symbol
_atom_site_fract_x
_atom_site_fract_y
_atom_site_fract_z
_atom_site_occupancy
Na1 Na 0.000 0.500 0.000 1
C1 C 0.000 0.000 0.500 1
C2 C 0.500 0.000 0.000 1
B1 B 0.000 0.000 0.000 1
Bi1 Bi 0.500 0.500 0.500 1
# DFT formation energy ... 2.068 eV per atom
# DOS at the Fermi energy ... 2.0 states/eV/cell

---

no.,M_tot (μB/f.u.)
1,0.00
2,0.00
3,0.93
4,0.00
5,0.00
6,0.00